# 1
PmDyTm after structural relaxation. Source: the Alexandria database, functional PBE. Values from VASP.

Calculated values
As for the density of states at the Fermi level: 1.3726 states/eV per atom. The value obtained for the total magnetic moment is 0.000 μB/f.u. The calculation puts the polymorph energy (0 for the lowest one) at 0.012 eV/atom. As for the formation energy from the elements: 0.008 eV per atom. The calculation puts the raw total energy at -0.338 Ry/atom.

Cell and atoms, written as Quantum ESPRESSO input:
```
&SYSTEM
  ibrav = 0, nat = 6, ntyp = 3
/
ATOMIC_SPECIES
Pm 145.00 Pm.upf
Dy 162.50 Dy.upf
Tm 168.93 Tm.upf
CELL_PARAMETERS angstrom
6.2005 0.0000 0.0000
0.0000 3.5933 0.0000
-2.0560 0.0000 8.6101
ATOMIC_POSITIONS crystal
Pm 0.0261 0.2500 0.3306
Pm 0.9739 0.7500 0.6694
Dy 0.2541 0.2500 0.0053
Dy 0.7459 0.7500 0.9947
Tm 0.4699 0.2500 0.6646
Tm 0.5301 0.7500 0.3354
```

=====

# 2
Na2Tl2SnPb2 after structural relaxation. Source: the Alexandria database, functional PBE. Values from VASP.

Calculated values
As for the density of states at the Fermi level: 0.5461 states/eV per atom. The value obtained for the total magnetic moment is 0.000 μB/f.u. As for the formation energy from the elements: 0.067 eV per atom. The calculation puts the raw total energy at -0.192 Ry/atom.

Cell and atoms, written as Quantum ESPRESSO input:
```
&SYSTEM
  ibrav = 0, nat = 14, ntyp = 4
/
ATOMIC_SPECIES
Na 22.99 Na.upf
Tl 204.38 Tl.upf
Sn 118.71 Sn.upf
Pb 207.20 Pb.upf
CELL_PARAMETERS angstrom
9.3350 0.0000 0.0000
0.0000 5.6060 0.0000
-0.6359 0.0000 9.5761
ATOMIC_POSITIONS crystal
Na 0.1647 0.0000 0.4130
Na 0.3353 0.5000 0.5870
Na 0.6647 0.5000 0.4130
Na 0.8353 0.0000 0.5870
Tl 0.1757 0.0000 0.7578
Tl 0.3243 0.5000 0.2422
Tl 0.6757 0.5000 0.7578
Tl 0.8243 0.0000 0.2422
Sn 0.0000 0.5000 0.0000
Sn 0.5000 0.0000 0.0000
Pb 0.1679 0.0000 0.0858
Pb 0.3321 0.5000 0.9142
Pb 0.6679 0.5000 0.0858
Pb 0.8321 0.0000 0.9142
```

=====

# 3
BeCuCl2 after structural relaxation. Source: the Alexandria database, functional PBE. Values from VASP.

Calculated values
As for the density of states at the Fermi level: 1.5972 states/eV per atom. The value obtained for the total magnetic moment is 0.050 μB/f.u. The calculation puts the polymorph energy (0 for the lowest one) at 0.052 eV/atom. The calculation puts the raw total energy at -0.242 Ry/atom. For the raw formation energy, the calculation gives -409 meV per atom.

Cell and atoms, written as Quantum ESPRESSO input:
```
&SYSTEM
  ibrav = 0, nat = 12, ntyp = 3
/
ATOMIC_SPECIES
Be 9.01 Be.upf
Cu 63.55 Cu.upf
Cl 35.45 Cl.upf
CELL_PARAMETERS angstrom
3.1100 0.0000 0.0000
-1.5550 2.6933 0.0000
0.0000 0.0000 32.5968
ATOMIC_POSITIONS crystal
Be 0.0000 0.0000 0.0000
Be 0.3333 0.6667 0.6667
Be 0.6667 0.3333 0.3333
Cu 0.0000 0.0000 0.5000
Cu 0.3333 0.6667 0.1667
Cu 0.6667 0.3333 0.8333
Cl 0.0000 0.0000 0.2939
Cl 0.0000 0.0000 0.7061
Cl 0.3333 0.6667 0.3728
Cl 0.3333 0.6667 0.9605
Cl 0.6667 0.3333 0.0395
Cl 0.6667 0.3333 0.6272
```

=====

# 4
Tm6Al2Cu after structural relaxation. Source: the Alexandria database, functional PBE. Values from VASP.

Calculated values
As for the density of states at the Fermi level: 0.9101 states/eV per atom. The value obtained for the total magnetic moment is 0.000 μB/f.u. As for the formation energy from the elements: -0.003 eV per atom. The calculation puts the raw total energy at -0.314 Ry/atom.

Cell and atoms, written as Quantum ESPRESSO input:
```
&SYSTEM
  ibrav = 0, nat = 9, ntyp = 3
/
ATOMIC_SPECIES
Tm 168.93 Tm.upf
Al 26.98 Al.upf
Cu 63.55 Cu.upf
CELL_PARAMETERS angstrom
-2.4405 3.5070 7.3289
2.4405 -3.5070 7.3289
2.4405 3.5070 -7.3289
ATOMIC_POSITIONS crystal
Tm 0.0805 0.3376 0.7430
Tm 0.2377 0.0000 0.2377
Tm 0.4054 0.6624 0.7430
Tm 0.5946 0.3376 0.2570
Tm 0.7623 0.0000 0.7623
Tm 0.9195 0.6624 0.2570
Al 0.3342 0.8342 0.5000
Al 0.6658 0.1658 0.5000
Cu 0.0000 0.5000 0.5000
```

=====

# 5
AlV2Tc3 after structural relaxation. Source: the Alexandria database, functional PBE. Values from VASP.

Calculated values
As for the density of states at the Fermi level: 1.1147 states/eV per atom. The value obtained for the total magnetic moment is 0.000 μB/f.u. As for the formation energy from the elements: -0.369 eV per atom. The calculation puts the raw total energy at -0.677 Ry/atom.

Cell and atoms, written as Quantum ESPRESSO input:
```
&SYSTEM
  ibrav = 0, nat = 6, ntyp = 3
/
ATOMIC_SPECIES
Al 26.98 Al.upf
V 50.94 V.upf
Tc 98.00 Tc.upf
CELL_PARAMETERS angstrom
3.0343 0.0000 0.0000
0.0000 3.0343 0.0000
0.0000 0.0000 9.1078
ATOMIC_POSITIONS crystal
Al 0.0000 0.0000 0.0000
V 0.0000 0.0000 0.3322
V 0.0000 0.0000 0.6678
Tc 0.5000 0.5000 0.1736
Tc 0.5000 0.5000 0.5000
Tc 0.5000 0.5000 0.8264
```

=====

# 6
GdBO2 after structural relaxation. Source: the Alexandria database, functional PBE. Values from VASP.

Calculated values
As for the density of states at the Fermi level: 0.2743 states/eV per atom. The value obtained for the total magnetic moment is 7.369 μB/f.u. The calculation puts the raw total energy at -0.616 Ry/atom. For the raw formation energy, the calculation gives -712 meV per atom.

Cell and atoms, written as Quantum ESPRESSO input:
```
&SYSTEM
  ibrav = 0, nat = 12, ntyp = 3
/
ATOMIC_SPECIES
Gd 157.25 Gd.upf
B 10.81 B.upf
O 16.00 O.upf
CELL_PARAMETERS angstrom
2.7719 0.0000 0.0000
-1.3860 2.4006 0.0000
0.0000 0.0000 19.2282
ATOMIC_POSITIONS crystal
Gd 0.0000 0.0000 0.0000
Gd 0.3333 0.6667 0.6667
Gd 0.6667 0.3333 0.3333
B 0.0000 0.0000 0.5000
B 0.3333 0.6667 0.1667
B 0.6667 0.3333 0.8333
O 0.0000 0.0000 0.1219
O 0.0000 0.0000 0.8781
O 0.3333 0.6667 0.5448
O 0.3333 0.6667 0.7885
O 0.6667 0.3333 0.2115
O 0.6667 0.3333 0.4552
```

=====

# 7
RbIn3S after structural relaxation. Source: the Alexandria database, functional PBE. Values from VASP.

Calculated values
As for the density of states at the Fermi level: 0.7059 states/eV per atom. The value obtained for the total magnetic moment is 0.000 μB/f.u. The calculation puts the polymorph energy (0 for the lowest one) at 0.988 eV/atom. The calculation puts the raw total energy at -0.118 Ry/atom. For the raw formation energy, the calculation gives 1056 meV per atom.

Cell and atoms, written as Quantum ESPRESSO input:
```
&SYSTEM
  ibrav = 0, nat = 5, ntyp = 3
/
ATOMIC_SPECIES
Rb 85.47 Rb.upf
In 114.82 In.upf
S 32.06 S.upf
CELL_PARAMETERS angstrom
6.3510 0.0000 0.0000
0.0000 6.3510 0.0000
0.0000 0.0000 6.3510
ATOMIC_POSITIONS crystal
Rb 0.0000 0.0000 0.0000
In 0.0000 0.0000 0.5000
In 0.0000 0.5000 0.0000
In 0.5000 0.0000 0.0000
S 0.5000 0.5000 0.5000
```

=====

# 8
Ba3LaSc after structural relaxation. Source: the Alexandria database, functional PBE. Values from VASP.

Calculated values
As for the density of states at the Fermi level: 1.3934 states/eV per atom. The value obtained for the total magnetic moment is 0.000 μB/f.u. As for the formation energy from the elements: 0.846 eV per atom. The calculation puts the raw total energy at -0.188 Ry/atom.

Cell and atoms, written as Quantum ESPRESSO input:
```
&SYSTEM
  ibrav = 0, nat = 5, ntyp = 3
/
ATOMIC_SPECIES
Ba 137.33 Ba.upf
La 138.91 La.upf
Sc 44.96 Sc.upf
CELL_PARAMETERS angstrom
6.3858 0.0000 0.0000
0.0000 6.3858 0.0000
0.0000 0.0000 6.3858
ATOMIC_POSITIONS crystal
Ba 0.0000 0.0000 0.5000
Ba 0.0000 0.5000 0.0000
Ba 0.5000 0.0000 0.0000
La 0.0000 0.0000 0.0000
Sc 0.5000 0.5000 0.5000
```

=====

Please write out number 7 again, unchanged.
RbIn3S after structural relaxation. Source: the Alexandria database, functional PBE. Values from VASP.

Calculated values
As for the density of states at the Fermi level: 0.7059 states/eV per atom. The value obtained for the total magnetic moment is 0.000 μB/f.u. The calculation puts the polymorph energy (0 for the lowest one) at 0.988 eV/atom. The calculation puts the raw total energy at -0.118 Ry/atom. For the raw formation energy, the calculation gives 1056 meV per atom.

Cell and atoms, written as Quantum ESPRESSO input:
```
&SYSTEM
  ibrav = 0, nat = 5, ntyp = 3
/
ATOMIC_SPECIES
Rb 85.47 Rb.upf
In 114.82 In.upf
S 32.06 S.upf
CELL_PARAMETERS angstrom
6.3510 0.0000 0.0000
0.0000 6.3510 0.0000
0.0000 0.0000 6.3510
ATOMIC_POSITIONS crystal
Rb 0.0000 0.0000 0.0000
In 0.0000 0.0000 0.5000
In 0.0000 0.5000 0.0000
In 0.5000 0.0000 0.0000
S 0.5000 0.5000 0.5000
```